No. 1
A plane-wave DFT calculation with GGA-PBE was carried out for crystalline Cs3MgGe at its relaxed geometry.

Cell and atoms, written as POSCAR:
```
Cs3MgGe
1.0
7.013 0.000 0.000
0.000 7.013 0.000
0.000 0.000 7.013
Cs Mg Ge
3 1 1
Cartesian
0.000 0.000 3.507
0.000 3.507 0.000
3.507 0.000 0.000
0.000 0.000 0.000
3.507 3.507 3.507
```

Properties
D(E_F) = 2.421 states/eV/f.u.
spin magnetization = 1.16 Bohr magnetons per cell
formation energy from the elements = 0.636 eV per atom
space-group type = Pm-3m, No. 221


No. 2
A plane-wave DFT calculation with GGA-PBE was carried out for crystalline CsMg2Ge2 at its relaxed geometry.

Cell and atoms, written as POSCAR:
```
CsMg2Ge2
1.0
9.094 0.000 0.000
0.000 9.094 0.000
0.000 0.000 3.230
Cs Mg Ge
2 4 4
Cartesian
0.000 0.000 0.000
4.547 4.547 0.000
1.170 3.378 1.615
3.378 7.925 1.615
5.717 1.170 1.615
7.925 5.717 1.615
1.304 5.851 0.000
3.244 1.304 0.000
5.851 7.791 0.000
7.791 3.244 0.000
```

Properties
D(E_F) = 2.325 states/eV/f.u.
spin magnetization = 0.00 Bohr magnetons per cell
distance to the lowest polymorph of the same formula = 0.188 eV/atom
formation energy from the elements = 0.072 eV per atom
space-group type = P4/mbm, No. 127


No. 3
A plane-wave DFT calculation with GGA-PBE was carried out for crystalline CsNa2MgGe at its relaxed geometry.

Cell and atoms, written as POSCAR:
```
CsNa2MgGe
1.0
5.957 0.000 0.000
0.000 5.957 0.000
0.000 0.000 5.347
Cs Na Mg Ge
1 2 1 1
Cartesian
0.000 0.000 0.000
0.000 2.978 2.674
2.978 0.000 2.674
2.978 2.978 0.000
2.978 2.978 2.674
```

Properties
D(E_F) = 2.034 states/eV/f.u.
spin magnetization = 0.00 Bohr magnetons per cell
formation energy from the elements = -0.002 eV per atom
space-group type = P4/mmm, No. 123


No. 4
A plane-wave DFT calculation with GGA-PBE was carried out for crystalline Cs2MgGeO4 at its relaxed geometry.

Cell and atoms, written as POSCAR:
```
Cs2MgGeO4
1.0
0.000 6.312 11.135
2.596 0.000 11.135
2.596 6.312 0.000
Cs Mg Ge O
4 2 2 8
Cartesian
1.947 4.734 1.090
3.245 7.890 6.657
1.947 4.734 15.612
3.245 7.890 21.180
0.649 1.578 2.784
4.542 11.046 19.486
1.947 4.734 8.351
3.245 7.890 13.919
3.113 3.730 7.418
3.113 5.738 9.284
4.411 6.886 14.851
4.411 8.894 12.986
0.780 3.730 9.284
0.780 5.738 7.418
2.078 6.886 12.986
2.078 8.894 14.851
```

Properties
energy relative to the elements, uncorrected = -1.869 eV per atom
D(E_F) = 0.000 states/eV/f.u.
spin magnetization = 0.00 Bohr magnetons per cell
space-group type = Fddd, No. 70


No. 5
A plane-wave DFT calculation with GGA-PBE was carried out for crystalline CsRb2MgGe at its relaxed geometry.

Cell and atoms, written as POSCAR:
```
CsRb2MgGe
1.0
7.205 0.000 0.000
0.000 7.205 0.000
0.000 0.000 5.262
Cs Rb Mg Ge
1 2 1 1
Cartesian
0.000 0.000 0.000
0.000 3.602 2.631
3.602 0.000 2.631
3.602 3.602 0.000
3.602 3.602 2.631
```

Properties
D(E_F) = 2.183 states/eV/f.u.
spin magnetization = 0.30 Bohr magnetons per cell
formation energy from the elements = 0.094 eV per atom
space-group type = P4/mmm, No. 123


No. 6
A plane-wave DFT calculation with GGA-PBE was carried out for crystalline CsMg2GeRh at its relaxed geometry.

Cell and atoms, written as POSCAR:
```
CsMg2GeRh
1.0
5.256 0.000 0.000
0.000 5.256 0.000
0.000 0.000 4.795
Cs Mg Ge Rh
1 2 1 1
Cartesian
0.000 0.000 0.000
0.000 2.628 2.398
2.628 0.000 2.398
2.628 2.628 0.000
2.628 2.628 2.398
```

Properties
D(E_F) = 2.233 states/eV/f.u.
spin magnetization = 0.00 Bohr magnetons per cell
formation energy from the elements = -0.184 eV per atom
space-group type = P4/mmm, No. 123


No. 7
A plane-wave DFT calculation with GGA-PBE was carried out for crystalline Cs2MgZnGe at its relaxed geometry.

Cell and atoms, written as POSCAR:
```
Cs2MgZnGe
1.0
7.374 0.000 0.000
0.000 7.374 0.000
0.000 0.000 5.049
Cs Mg Zn Ge
2 1 1 1
Cartesian
0.000 3.687 0.000
3.687 0.000 0.000
0.000 0.000 2.524
3.687 3.687 2.524
0.000 0.000 0.000
```

Properties
D(E_F) = 2.342 states/eV/f.u.
spin magnetization = 0.00 Bohr magnetons per cell
formation energy from the elements = 0.215 eV per atom
space-group type = P4/mmm, No. 123


No. 8
A plane-wave DFT calculation with GGA-PBE was carried out for crystalline Cs2MnGeSe4 at its relaxed geometry.

Cell and atoms, written as POSCAR:
```
Cs2MnGeSe4
1.0
0.000 7.295 12.980
3.121 0.000 12.980
3.121 7.295 0.000
Cs Mn Ge Se
4 2 2 8
Cartesian
2.340 5.472 1.418
3.901 9.119 7.908
2.340 5.472 18.052
3.901 9.119 24.542
0.780 1.824 3.245
5.461 12.767 22.715
2.340 5.472 9.735
3.901 9.119 16.225
2.455 3.191 4.579
3.786 6.839 11.069
2.226 7.752 4.579
2.226 3.191 14.891
4.015 11.400 11.069
4.015 6.839 21.381
2.455 7.752 14.891
3.786 11.400 21.381
```

Properties
energy relative to the elements, uncorrected = -0.808 eV per atom
spin magnetization = 10.00 Bohr magnetons per cell
space-group type = Fddd, No. 70